{"formula": "Sr2ScAs", "functional": "PBE", "state": "optimized geometry", "lattice": [[4.2186, 0.0000, 0.0000], [0.0000, 4.2186, 0.0000], [0.0000, 0.0000, 6.7809]], "species": ["Sr", "Sr", "Sc", "As"], "frac_coords": [[0.0000, 0.0000, 0.2248], [0.0000, 0.0000, 0.7752], [0.5000, 0.5000, 0.5000], [0.5000, 0.5000, 0.0000]], "vol_a3_per_atom": 30.17, "n_ef_per_ev_atom": 0.5131, "rho_g_cm3": 4.06, "magmom_total_mub_per_fu": 0.0, "final_energy_ev_per_atom": -3.89}